Record 1
A plane-wave DFT calculation with PBE was carried out for a geometry-optimized Ac3LaNd3 structure.

```
Ac3LaNd3
1.0
6.171 0.000 0.000
0.000 10.242 0.000
0.000 -5.121 8.870
Nd Ac La
6 6 2
Direct
0.250 0.230 0.185
0.750 0.185 0.955
0.250 0.815 0.045
0.750 0.045 0.230
0.250 0.955 0.770
0.750 0.770 0.815
0.750 0.465 0.372
0.750 0.628 0.093
0.250 0.372 0.907
0.250 0.535 0.628
0.750 0.907 0.535
0.250 0.093 0.465
0.250 0.667 0.333
0.750 0.333 0.667
```

Results
Uncorrected energy = -0.328 Ry per atom
ΔE_f = 4.1 kJ/mol of atoms

***

Record 2
A plane-wave DFT calculation with PBE was carried out for a geometry-optimized PmTa2CuO8 structure.

```
PmTa2CuO8
1.0
5.008 0.247 0.016
0.328 4.998 0.014
0.030 0.033 6.312
O Cu Ta Pm
8 1 2 1
Direct
0.671 0.671 0.493
0.199 0.793 0.211
0.673 0.674 0.997
0.327 0.326 0.003
0.329 0.329 0.507
0.794 0.199 0.211
0.206 0.801 0.789
0.801 0.207 0.789
0.000 0.000 0.000
0.518 0.518 0.235
0.482 0.482 0.765
0.000 0.000 0.500
```

Results
ΔE_f (raw) = -2379 meV per atom
Uncorrected energy = -0.617 Ry per atom

***

Record 3
A plane-wave DFT calculation with PBE was carried out for a geometry-optimized Ba3Li2Cd2Bi4 structure.

```
Ba3Li2Cd2Bi4
1.0
5.027 0.000 0.000
-2.513 4.353 0.000
0.000 0.000 17.505
Bi Cd Li Ba
4 2 2 3
Direct
0.333 0.667 0.387
0.333 0.667 0.868
0.667 0.333 0.132
0.667 0.333 0.613
0.667 0.333 0.437
0.333 0.667 0.563
0.667 0.333 0.866
0.333 0.667 0.134
0.000 0.000 0.000
0.000 0.000 0.267
0.000 0.000 0.733
```

Results
Uncorrected energy = -0.228 Ry per atom
ΔE_f = -62.7 kJ/mol of atoms

***

Record 4
A plane-wave DFT calculation with PBE was carried out for a geometry-optimized AcLa2Dy structure.

```
AcLa2Dy
1.0
-0.900 -3.495 -1.172
-1.008 -0.927 3.539
-9.753 3.166 -1.949
La Dy Ac
2 1 1
Direct
0.000 0.000 0.235
0.000 0.000 0.765
0.500 0.500 0.000
0.500 0.500 0.500
```

Results
Energy above the most stable polymorph in this dataset = 0.016 eV/atom
Uncorrected energy = -0.339 Ry per atom
ΔE_f = 3.4 kJ/mol of atoms

***

Record 5
A plane-wave DFT calculation with PBE was carried out for a geometry-optimized Pm2TeSe2 structure.

```
Pm2TeSe2
1.0
-2.420 -2.789 -2.638
-0.944 -3.586 4.657
-9.206 7.448 0.571
Se Pm Te
4 4 2
Direct
0.250 0.166 0.262
0.250 0.290 0.598
0.750 0.834 0.738
0.750 0.710 0.402
0.750 0.396 0.825
0.750 0.211 0.408
0.250 0.604 0.175
0.250 0.789 0.592
0.750 0.777 0.050
0.250 0.223 0.950
```

Results
Energy above the most stable polymorph in this dataset = 0.000 eV/atom
ΔE_f (raw) = -1589 meV per atom
Uncorrected energy = -0.405 Ry per atom

***

Record 6
A plane-wave DFT calculation with PBE was carried out for a geometry-optimized AgPH4 structure.

```
AgPH4
1.0
3.830 1.157 0.333
-1.379 6.133 -0.876
-0.010 -2.147 3.389
H P Ag
4 1 1
Direct
0.792 0.457 0.535
0.159 0.455 0.164
0.516 0.231 0.659
0.739 0.739 0.397
0.987 0.643 0.548
0.296 0.991 0.204
```

Results
Uncorrected energy = -0.255 Ry per atom

***

Record 7
A plane-wave DFT calculation with PBE was carried out for a geometry-optimized LiAlSe2 structure.

```
LiAlSe2
1.0
-5.458 -1.805 2.189
-1.735 -1.012 5.814
2.853 3.920 -3.786
Se Al Li
2 1 1
Direct
0.250 0.750 0.500
0.000 0.000 0.000
0.500 0.500 0.000
0.750 0.250 0.500
```

Results
ΔE_f (raw) = -416 meV per atom
Uncorrected energy = -0.263 Ry per atom

***

Record 8
A plane-wave DFT calculation with PBE was carried out for a geometry-optimized BaLiTiP2 structure.

```
BaLiTiP2
1.0
4.070 0.000 0.000
0.000 4.070 0.000
-2.035 -2.035 6.579
Li P Ti Ba
1 2 1 1
Direct
0.750 0.250 0.500
0.646 0.646 0.291
0.354 0.354 0.709
0.250 0.750 0.500
0.000 0.000 0.000
```

Results
Uncorrected energy = -0.401 Ry per atom
ΔE_f = -90.6 kJ/mol of atoms